The following is a PBE calculation of a relaxed structure of Cr2SbTe, from Alexandria via LeMat-Bulk.

Cell lengths 3.2585, 4.2615, 13.9490 Å; angles 90.00, 90.00, 90.00 degrees
Last column: nearest neighbours and their distance in Å.
Fractional positions:
Cr: 0.0000 0.0000 0.0000  2 Cr 2.52
Cr: 0.0000 0.5000 0.0965  2 Cr 2.52
Cr: 0.5000 0.0000 0.5965  2 Cr 2.52
Cr: 0.5000 0.5000 0.5000  2 Cr 2.52
Sb: 0.0000 0.5000 0.6712  6 Cr 2.88-2.89
Sb: 0.5000 0.0000 0.1712  6 Cr 2.88-2.89
Te: 0.0000 0.0000 0.4289  6 Cr 2.85-2.86
Te: 0.5000 0.5000 0.9289  6 Cr 2.85-2.86

## Properties
- ΔE to the lowest computed polymorph: 248 meV per atom
- Calculated density: 6058 kg/m³

The following is a PBE calculation of a relaxed structure of CrSbTe2, from Alexandria via LeMat-Bulk.

Cell lengths 7.1249, 7.1249, 7.1249 Å; angles 90.00, 90.00, 90.00 degrees
Last column: nearest neighbours and their distance in Å.
Fractional positions:
Cr: 0.0000 0.0000 0.0000  8 Te 3.09
Cr: 0.0000 0.5000 0.5000  8 Te 3.09
Cr: 0.5000 0.0000 0.5000  8 Te 3.09
Cr: 0.5000 0.5000 0.0000  8 Te 3.09
Sb: 0.0000 0.0000 0.5000  8 Te 3.09
Sb: 0.0000 0.5000 0.0000  8 Te 3.09
Sb: 0.5000 0.0000 0.0000  8 Te 3.09
Sb: 0.5000 0.5000 0.5000  8 Te 3.09
Te: 0.2500 0.2500 0.2500  4 Cr 3.09, 4 Sb 3.09
Te: 0.2500 0.2500 0.7500  4 Sb 3.09, 4 Cr 3.09
Te: 0.2500 0.7500 0.2500  4 Cr 3.09, 4 Sb 3.09
Te: 0.2500 0.7500 0.7500  4 Cr 3.09, 4 Sb 3.09
Te: 0.7500 0.2500 0.2500  4 Cr 3.09, 4 Sb 3.09
Te: 0.7500 0.2500 0.7500  4 Cr 3.09, 4 Sb 3.09
Te: 0.7500 0.7500 0.2500  4 Cr 3.09, 4 Sb 3.09
Te: 0.7500 0.7500 0.7500  4 Sb 3.09, 4 Cr 3.09

## Properties
- ΔE to the lowest computed polymorph: 694 meV per atom
- Calculated density: 7877 kg/m³

The following is a PBE calculation of a relaxed structure of CrSbTe2, from Alexandria via LeMat-Bulk.

Cell lengths 4.2307, 4.2307, 12.3122 Å; angles 90.00, 90.00, 90.00 degrees
Last column: nearest neighbours and their distance in Å.
Fractional positions:
Cr: 0.0000 0.0000 0.0000  4 Te 2.99
Cr: 0.5000 0.5000 0.5000  4 Te 2.99
Sb: 0.0000 0.5000 0.7500  4 Te 2.99
Sb: 0.5000 0.0000 0.2500  4 Te 2.99
Te: 0.0000 0.0000 0.5000  4 Cr 2.99
Te: 0.0000 0.5000 0.2500  4 Sb 2.99
Te: 0.5000 0.0000 0.7500  4 Sb 2.99
Te: 0.5000 0.5000 0.0000  4 Cr 2.99

## Properties
- ΔE to the lowest computed polymorph: 407 meV per atom
- Calculated density: 6465 kg/m³

The following is a PBE calculation of a relaxed structure of CrSbTe2, from Alexandria via LeMat-Bulk.

Cell lengths 3.2386, 3.2386, 39.5118 Å; angles 90.00, 90.00, 120.00 degrees
Last column: nearest neighbours and their distance in Å.
Fractional positions:
Cr: 0.0000 0.0000 0.0000  2 Te 2.69
Cr: 0.3333 0.6667 0.6667  2 Te 2.69
Cr: 0.6667 0.3333 0.3333  2 Te 2.69
Sb: 0.0000 0.0000 0.5000  6 Sb 3.24
Sb: 0.3333 0.6667 0.1667  6 Sb 3.24
Sb: 0.6667 0.3333 0.8333  6 Sb 3.24
Te: 0.0000 0.0000 0.0681  1 Cr 2.69
Te: 0.0000 0.0000 0.9319  1 Cr 2.69
Te: 0.3333 0.6667 0.5986  1 Cr 2.69
Te: 0.3333 0.6667 0.7348  1 Cr 2.69
Te: 0.6667 0.3333 0.2652  1 Cr 2.69
Te: 0.6667 0.3333 0.4014  1 Cr 2.69

## Properties
- ΔE to the lowest computed polymorph: 569 meV per atom
- Calculated density: 5954 kg/m³

The following is a PBE calculation of a relaxed structure of Cr4SbTe, from Alexandria via LeMat-Bulk.

Cell lengths 5.0562, 5.0562, 5.0562 Å; angles 60.00, 60.00, 60.00 degrees
Last column: nearest neighbours and their distance in Å.
Fractional positions:
Cr: 0.3758 0.3758 0.3758  6 Cr 2.51-2.54
Cr: 0.3758 0.3758 0.8726  6 Cr 2.51-2.54
Cr: 0.3758 0.8726 0.3758  6 Cr 2.51-2.54
Cr: 0.8726 0.3758 0.3758  6 Cr 2.51-2.54
Sb: 0.0000 0.0000 0.0000  12 Cr 2.97, 4 Te 3.10
Te: 0.7500 0.7500 0.7500  12 Cr 2.96, 4 Sb 3.10

## Properties
- Raw total energy: -7.084 eV/atom
- Calculated density: 8309 kg/m³

The following is a PBE calculation of a relaxed structure of CrSbTe2, from Alexandria via LeMat-Bulk.

Cell lengths 3.7033, 3.7033, 26.2948 Å; angles 90.00, 90.00, 120.00 degrees
Last column: nearest neighbours and their distance in Å.
Fractional positions:
Cr: 0.0000 0.0000 0.0000  6 Te 2.70
Cr: 0.3333 0.6667 0.6667  6 Te 2.70
Cr: 0.6667 0.3333 0.3333  6 Te 2.70
Sb: 0.0000 0.0000 0.5000  6 Te 3.47, 6 Sb 3.70
Sb: 0.3333 0.6667 0.1667  6 Te 3.47, 6 Sb 3.70
Sb: 0.6667 0.3333 0.8333  6 Te 3.47, 6 Sb 3.70
Te: 0.0000 0.0000 0.2706  3 Cr 2.70
Te: 0.0000 0.0000 0.7294  3 Cr 2.70
Te: 0.3333 0.6667 0.3961  3 Cr 2.70
Te: 0.3333 0.6667 0.9372  3 Cr 2.70
Te: 0.6667 0.3333 0.0628  3 Cr 2.70
Te: 0.6667 0.3333 0.6039  3 Cr 2.70

## Properties
- ΔE to the lowest computed polymorph: 92 meV per atom
- Calculated density: 6842 kg/m³

The following is a PBE calculation of a relaxed structure of Cr2SbTe, from Alexandria via LeMat-Bulk.

Cell lengths 7.0263, 7.0166, 3.4251 Å; angles 90.00, 90.17, 90.00 degrees
Last column: nearest neighbours and their distance in Å.
Fractional positions:
Cr: 0.2500 0.2500 0.0000  4 Sb 3.01-3.02, 4 Te 3.01-3.02
Cr: 0.2500 0.7500 0.0000  4 Sb 3.01-3.02, 4 Te 3.01-3.02
Cr: 0.7500 0.2500 0.0000  4 Sb 3.01-3.02, 4 Te 3.01-3.02
Cr: 0.7500 0.7500 0.0000  4 Sb 3.01-3.02, 4 Te 3.01-3.02
Sb: 0.0000 0.0000 0.5000  8 Cr 3.01-3.02
Sb: 0.5000 0.5000 0.5000  8 Cr 3.01-3.02
Te: 0.0000 0.5000 0.5000  8 Cr 3.01-3.02
Te: 0.5000 0.0000 0.5000  8 Cr 3.01-3.02

## Properties
- ΔE to the lowest computed polymorph: 346 meV per atom
- Calculated density: 6950 kg/m³

The following is a PBE calculation of a relaxed structure of CrSbTe, from Alexandria via LeMat-Bulk.

Cell lengths 5.1981, 5.1981, 10.1720 Å; angles 90.00, 90.00, 78.24 degrees
Last column: nearest neighbours and their distance in Å.
Fractional positions:
Cr: 0.1845 0.8155 0.9272  3 Sb 2.53-2.80, 4 Te 2.75-2.77
Cr: 0.3155 0.6845 0.4272  3 Sb 2.53-2.80, 4 Te 2.75-2.77
Cr: 0.6845 0.3155 0.5728  3 Sb 2.53-2.80, 4 Te 2.75-2.77
Cr: 0.8155 0.1845 0.0728  3 Sb 2.53-2.80, 4 Te 2.75-2.77
Sb: 0.1540 0.8460 0.2018  3 Cr 2.53-2.80
Sb: 0.3460 0.6540 0.7018  3 Cr 2.53-2.80
Sb: 0.6540 0.3460 0.2982  3 Cr 2.53-2.80
Sb: 0.8460 0.1540 0.7982  3 Cr 2.53-2.80
Te: 0.2047 0.2047 0.5000  4 Cr 2.75-2.77
Te: 0.2953 0.2953 0.0000  4 Cr 2.75-2.77
Te: 0.7047 0.7047 0.0000  4 Cr 2.75-2.77
Te: 0.7953 0.7953 0.5000  4 Cr 2.75-2.77

## Properties
- ΔE to the lowest computed polymorph: 140 meV per atom
- Calculated density: 7439 kg/m³

The following is a PBE calculation of a relaxed structure of CrSbTe2, from Alexandria via LeMat-Bulk.

Cell lengths 5.2602, 5.2602, 3.6848 Å; angles 90.00, 90.00, 90.00 degrees
Last column: nearest neighbours and their distance in Å.
Fractional positions:
Cr: 0.0000 0.0000 0.0000  8 Te 3.21
Sb: 0.5000 0.5000 0.0000  8 Te 3.21
Te: 0.0000 0.5000 0.5000  4 Cr 3.21, 4 Sb 3.21
Te: 0.5000 0.0000 0.5000  4 Cr 3.21, 4 Sb 3.21

## Properties
- ΔE to the lowest computed polymorph: 329 meV per atom
- Calculated density: 6986 kg/m³

The following is a PBE calculation of a relaxed structure of Cr2SbTe, from Alexandria via LeMat-Bulk.

Cell lengths 3.1845, 3.1845, 30.7915 Å; angles 90.00, 90.00, 120.00 degrees
Last column: nearest neighbours and their distance in Å.
Fractional positions:
Cr: 0.0000 0.0000 0.0000  3 Cr 2.53, 3 Te 2.81
Cr: 0.0000 0.0000 0.2771  3 Cr 2.53
Cr: 0.3333 0.6667 0.6667  3 Cr 2.53, 3 Te 2.81
Cr: 0.3333 0.6667 0.9438  3 Cr 2.53
Cr: 0.6667 0.3333 0.3333  3 Cr 2.53, 3 Te 2.81
Cr: 0.6667 0.3333 0.6105  3 Cr 2.53
Sb: 0.0000 0.0000 0.5399  3 Cr 2.85, 6 Sb 3.18
Sb: 0.3333 0.6667 0.2065  3 Cr 2.85, 6 Sb 3.18
Sb: 0.6667 0.3333 0.8732  3 Cr 2.85, 6 Sb 3.18
Te: 0.0000 0.0000 0.7357  3 Cr 2.81
Te: 0.3333 0.6667 0.4023  3 Cr 2.81
Te: 0.6667 0.3333 0.0690  3 Cr 2.81

## Properties
- ΔE to the lowest computed polymorph: 339 meV per atom
- Calculated density: 6509 kg/m³

The following is a PBE calculation of a relaxed structure of TiCrSb2Te, from Alexandria via LeMat-Bulk.

Cell lengths 5.2668, 5.2668, 5.2837 Å; angles 90.00, 90.00, 90.00 degrees
Last column: nearest neighbours and their distance in Å.
Fractional positions:
Ti: 0.0000 0.0000 0.0000  4 Sb 2.63, 2 Te 2.64
Cr: 0.5000 0.5000 0.5000  4 Te 3.72, 8 Sb 3.73
Sb: 0.0000 0.5000 0.0000  2 Ti 2.63
Sb: 0.5000 0.0000 0.0000  2 Ti 2.63
Te: 0.0000 0.0000 0.5000  2 Ti 2.64

## Properties
- ΔE to the lowest computed polymorph: 0 meV per atom
- Calculated density: 5336 kg/m³

The following is a PBE calculation of a relaxed structure of TiCrSb2Te, from Alexandria via LeMat-Bulk.

Cell lengths 5.0370, 5.0370, 5.3094 Å; angles 90.00, 90.00, 90.00 degrees
Last column: nearest neighbours and their distance in Å.
Fractional positions:
Ti: 0.0000 0.0000 0.0000  4 Te 3.56, 8 Sb 3.66
Cr: 0.5000 0.5000 0.5000  4 Sb 2.52, 2 Te 2.65
Sb: 0.0000 0.5000 0.5000  2 Cr 2.52
Sb: 0.5000 0.0000 0.5000  2 Cr 2.52
Te: 0.5000 0.5000 0.0000  2 Cr 2.65

## Properties
- ΔE to the lowest computed polymorph: 125 meV per atom
- Calculated density: 5806 kg/m³

The following is a PBE calculation of a relaxed structure of Tl3Cr2SbTe6, from Alexandria via LeMat-Bulk.

Cell lengths 7.2825, 7.2825, 8.3506 Å; angles 98.45, 98.45, 119.88 degrees
Last column: nearest neighbours and their distance in Å.
Fractional positions:
Tl: 0.0000 0.0000 0.0000  6 Te 3.35-3.51
Tl: 0.3446 0.6554 0.0000  6 Te 3.39-3.53
Tl: 0.6554 0.3446 0.0000  6 Te 3.39-3.53
Cr: 0.1675 0.8325 0.5000  6 Te 2.79-2.81
Cr: 0.8325 0.1675 0.5000  6 Te 2.79-2.81
Sb: 0.5000 0.5000 0.5000  6 Te 3.03-3.05
Te: 0.0753 0.4349 0.3050  2 Cr 2.80-2.81, 1 Sb 3.05
Te: 0.2028 0.2028 0.6887  2 Cr 2.79, 1 Sb 3.03
Te: 0.4349 0.0753 0.3050  2 Cr 2.80-2.81, 1 Sb 3.05
Te: 0.5651 0.9247 0.6950  2 Cr 2.80-2.81, 1 Sb 3.05
Te: 0.7972 0.7972 0.3113  2 Cr 2.79, 1 Sb 3.03
Te: 0.9247 0.5651 0.6950  2 Cr 2.80-2.81, 1 Sb 3.05

## Properties
- Raw total energy: -4.339 eV/atom
- Calculated density: 7258 kg/m³

The following is a PBE calculation of a relaxed structure of VCrSbTe2, from Alexandria via LeMat-Bulk.

Cell lengths 5.2009, 5.2009, 5.0050 Å; angles 90.00, 90.00, 90.00 degrees
Last column: nearest neighbours and their distance in Å.
Fractional positions:
V: 0.0000 0.0000 0.0000  8 Te 3.61, 4 Sb 3.68
Cr: 0.5000 0.5000 0.5000  2 Sb 2.50, 4 Te 2.60
Sb: 0.5000 0.5000 0.0000  2 Cr 2.50
Te: 0.0000 0.5000 0.5000  2 Cr 2.60
Te: 0.5000 0.0000 0.5000  2 Cr 2.60

## Properties
- ΔE to the lowest computed polymorph: 349 meV per atom
- Calculated density: 5886 kg/m³